No. 1
VASP calculation (PBE-GGA) on NdUPd4 after structural relaxation.

The structure belongs to space group F-43m (No. 216); the cell edges are 7.7528, 7.7528 and 7.7528 Å and the angles 90.00°, 90.00° and 90.00°. The asymmetric unit holds Nd at (0.0000, 0.0000, 0.0000), U at (0.2500, 0.2500, 0.7500) and Pd at (0.1246, 0.1246, 0.3754).

Its energy relative to the elements is -0.48 eV per atom.

=====

No. 2
VASP calculation (PBE-GGA) on Nd3VPd12 after structural relaxation.

The structure belongs to space group P4/mmm (No. 123); the cell edges are 4.1338, 4.1338 and 16.4231 Å and the angles 90.00°, 90.00° and 90.00°. The asymmetric unit holds Nd at (0.0000, 0.0000, 0.0000), Nd at (0.0000, 0.0000, 0.2572), V at (0.0000, 0.0000, 0.5000), Pd at (0.0000, 0.5000, 0.1302), Pd at (0.0000, 0.5000, 0.3927), Pd at (0.5000, 0.5000, 0.0000), Pd at (0.5000, 0.5000, 0.2616) and Pd at (0.5000, 0.5000, 0.5000).

Its energy relative to the elements is -0.62 eV per atom.

=====

No. 3
VASP calculation (PBE-GGA) on Nd2Y2Pd3 after structural relaxation.

The structure belongs to space group P-1 (No. 2); the cell edges are 5.0302, 5.0316 and 7.8601 Å and the angles 72.07°, 72.01° and 89.99°. The asymmetric unit holds Nd at (0.1351, 0.1308, 0.2533), Y at (0.3657, 0.3648, 0.7543), Pd at (0.0000, 0.5000, 0.5000) and Pd at (0.2489, 0.7544, 0.9859).

Its energy relative to the elements is -0.64 eV per atom.

=====

No. 4
VASP calculation (PBE-GGA) on Nd2Y2Pd15 after structural relaxation.

The structure belongs to space group R-3m (No. 166, hexagonal axes); the cell edges are 9.2638, 9.2638 and 14.1910 Å and the angles 90.00°, 90.00° and 120.00°. The asymmetric unit holds Nd at (0.0000, 0.0000, 0.1391), Y at (0.0000, 0.0000, 0.3918), Pd at (0.0000, 0.3067, 0.5000), Pd at (0.0000, 0.5000, 0.0000) and Pd at (0.0064, 0.5032, 0.6533).

Its energy relative to the elements is -0.56 eV per atom.

=====

No. 5
VASP calculation (PBE-GGA) on Nd2Y5Pd4 after structural relaxation.

The structure belongs to space group C2/m (No. 12); the cell edges are 24.9567, 3.6472 and 6.8333 Å and the angles 90.00°, 93.56° and 90.00°. The asymmetric unit holds Nd at (0.0930, 0.0000, 0.1771), Y at (0.0000, 0.5000, 0.5000), Y at (0.1331, 0.0000, 0.6851), Y at (0.2371, 0.0000, 0.2515), Pd at (0.0255, 0.0000, 0.8147) and Pd at (0.1725, 0.5000, 0.9942).

Its energy relative to the elements is -0.39 eV per atom.

=====

No. 6
VASP calculation (PBE-GGA) on NdYPd2 after structural relaxation.

The structure belongs to space group Fm-3m (No. 225); the cell edges are 7.1537, 7.1537 and 7.1537 Å and the angles 90.00°, 90.00° and 90.00°. The asymmetric unit holds Nd at (0.0000, 0.0000, 0.0000), Y at (0.0000, 0.0000, 0.5000) and Pd at (0.2500, 0.2500, 0.2500).

Its energy relative to the elements is -0.79 eV per atom. For the offset from the most stable computed form, the calculation gives 57 meV/atom.